Entry 1:
The following is a DFT calculation (PBE with a Hubbard U) of a relaxed Rb3PmV2O8 crystal.

Cell: 6.1678 6.1678 8.0514 Å, 90.00 90.00 120.00°
Last column: nearest neighbours and their distance in Å.
Atoms (fractional coordinates):
Rb1 0.0000 0.0000 0.0000  12 O 3.25-3.58
Rb2 0.3333 0.6667 0.7032  1 O 2.75
Rb3 0.6667 0.3333 0.2968  1 O 2.75
Pm1 0.0000 0.0000 0.5000  6 O 2.35
V1 0.3333 0.6667 0.2534  4 O 1.68-1.77
V2 0.6667 0.3333 0.7466  4 O 1.68-1.77
O1 0.1774 0.3548 0.3277  1 V 1.77
O2 0.1774 0.8226 0.3277  1 V 1.77
O3 0.3333 0.6667 0.0442  1 V 1.68
O4 0.3548 0.1774 0.6723  1 V 1.77
O5 0.6452 0.8226 0.3277  1 V 1.77
O6 0.6667 0.3333 0.9558  1 V 1.68
O7 0.8226 0.1774 0.6723  1 V 1.77
O8 0.8226 0.6452 0.6723  1 V 1.77

- density of states at the Fermi level (states/eV per cell) = 0.00
- calculated volume (Å³/atom) = 18.95
- energy (eV/atom) = -6.740

=====

Entry 2:
The following is a DFT calculation (PBE with a Hubbard U) of a relaxed Rb4Pm3VO8 crystal.

Cell: 7.0897 7.0897 7.7279 Å, 117.36 117.36 59.37°
Last column: nearest neighbours and their distance in Å.
Atoms (fractional coordinates):
Rb1 0.0000 0.0000 0.0000  6 O 2.93-3.10
Rb2 0.0000 0.5000 0.0000  6 O 2.89-2.93
Rb3 0.5000 0.0000 0.0000  6 O 2.89-2.93
Rb4 0.5000 0.5000 0.0000  6 O 2.91-2.94
Pm1 0.0000 0.0000 0.5000  6 O 2.36-2.41
Pm2 0.0000 0.5000 0.5000  6 O 2.36-2.42
Pm3 0.5000 0.0000 0.5000  6 O 2.36-2.42
V1 0.5000 0.5000 0.5000  6 O 2.15-2.37
O1 0.2259 0.2259 0.6820  3 Pm 2.36
O2 0.2540 0.7070 0.6692  1 V 2.15, 1 Pm 2.41
O3 0.2730 0.2730 0.3151  2 Pm 2.37, 1 V 2.37
O4 0.2930 0.7460 0.3308  1 V 2.15, 1 Pm 2.41
O5 0.7070 0.2540 0.6692  1 V 2.15, 1 Pm 2.41
O6 0.7270 0.7270 0.6849  2 Pm 2.37, 1 V 2.37
O7 0.7460 0.2930 0.3308  1 V 2.15, 1 Pm 2.41
O8 0.7741 0.7741 0.3180  3 Pm 2.36

- density of states at the Fermi level (states/eV per cell) = 0.00
- calculated volume (Å³/atom) = 17.73
- energy (eV/atom) = -6.396

=====

Entry 3:
The following is a DFT calculation (PBE with a Hubbard U) of a relaxed RbPmVO4 crystal.

Cell: 6.0878 6.0280 7.6979 Å, 90.00 107.20 90.00°
Last column: nearest neighbours and their distance in Å.
Atoms (fractional coordinates):
Rb1 0.2136 0.2500 0.4360  2 O 2.79-2.91
Rb2 0.7864 0.7500 0.5640  2 O 2.79-2.91
Pm1 0.3129 0.2500 0.9565  6 O 2.32-2.51
Pm2 0.6871 0.7500 0.0435  6 O 2.32-2.51
V1 0.2208 0.7500 0.1532  4 O 1.75-1.90
V2 0.7792 0.2500 0.8468  4 O 1.75-1.90
O1 0.0347 0.7500 0.9317  1 V 1.75
O2 0.0440 0.7500 0.3007  1 V 1.78
O3 0.4463 0.5264 0.1712  1 V 1.90
O4 0.4463 0.9736 0.1712  1 V 1.90
O5 0.5537 0.0264 0.8288  1 V 1.90
O6 0.5537 0.4736 0.8288  1 V 1.90
O7 0.9560 0.2500 0.6993  1 V 1.78
O8 0.9653 0.2500 0.0683  1 V 1.75

- calculated volume (Å³/atom) = 19.28
- energy (eV/atom) = -7.126

=====

Entry 4:
The following is a DFT calculation (PBE with a Hubbard U) of a relaxed Rb3Pm3VO8 crystal.

Cell: 6.9575 6.9575 7.7523 Å, 116.79 116.79 60.29°
Last column: nearest neighbours and their distance in Å.
Atoms (fractional coordinates):
Rb1 0.0000 0.0000 0.0000  6 O 2.90-2.94
Rb2 0.0000 0.5000 0.0000  6 O 2.92-2.95
Rb3 0.5000 0.0000 0.0000  6 O 2.92-2.95
Pm1 0.0000 0.5000 0.5000  6 O 2.34-2.42
Pm2 0.5000 0.0000 0.5000  6 O 2.34-2.42
Pm3 0.5000 0.5000 0.5000  6 O 2.34-2.40
V1 0.0000 0.0000 0.5000  6 O 2.00-2.09
O1 0.1951 0.1951 0.6585  1 V 2.00
O2 0.2019 0.7592 0.6629  1 V 2.09
O3 0.2408 0.7981 0.3371  1 V 2.09
O4 0.2724 0.2724 0.3204  3 Pm 2.34
O5 0.7276 0.7276 0.6796  3 Pm 2.34
O6 0.7592 0.2019 0.6629  1 V 2.09
O7 0.7981 0.2408 0.3371  1 V 2.09
O8 0.8049 0.8049 0.3415  1 V 2.00

- density of states at the Fermi level (states/eV per cell) = 0.00
- calculated volume (Å³/atom) = 18.54
- energy (eV/atom) = -6.739

=====

Entry 5:
The following is a DFT calculation (PBE with a Hubbard U) of a relaxed Rb2Pm2VO6 crystal.

Cell: 5.9047 5.9047 6.8842 Å, 97.20 97.20 119.60°
Last column: nearest neighbours and their distance in Å.
Atoms (fractional coordinates):
Rb1 0.1625 0.8375 0.0000  6 O 2.84-3.18
Rb2 0.8375 0.1625 0.0000  6 O 2.84-3.18
Pm1 0.3331 0.6669 0.5000  6 O 2.32-2.42
Pm2 0.6669 0.3331 0.5000  6 O 2.32-2.42
V1 0.0000 0.0000 0.5000  6 O 1.93-2.10
O1 0.0446 0.3487 0.6643  1 V 2.10, 1 Pm 2.32
O2 0.2253 0.2253 0.3407  1 V 1.93
O3 0.3487 0.0446 0.6643  1 V 2.10, 1 Pm 2.32
O4 0.6513 0.9554 0.3357  1 V 2.10, 1 Pm 2.32
O5 0.7747 0.7747 0.6593  1 V 1.93
O6 0.9554 0.6513 0.3357  1 V 2.10, 1 Pm 2.32

- density of states at the Fermi level (states/eV per cell) = 0.00
- calculated volume (Å³/atom) = 18.37
- energy (eV/atom) = -6.837

=====

Entry 6:
The following is a DFT calculation (PBE with a Hubbard U) of a relaxed Rb3Pm3WO8 crystal.

Cell: 7.0557 7.0557 7.7774 Å, 116.94 116.94 60.33°
Last column: nearest neighbours and their distance in Å.
Atoms (fractional coordinates):
Rb1 0.0000 0.0000 0.0000  6 O 2.94-2.97
Rb2 0.0000 0.5000 0.0000  6 O 2.95-2.96
Rb3 0.5000 0.0000 0.0000  6 O 2.95-2.96
Pm1 0.0000 0.5000 0.5000  6 O 2.35-2.42
Pm2 0.5000 0.0000 0.5000  6 O 2.35-2.42
Pm3 0.5000 0.5000 0.5000  6 O 2.36-2.40
W1 0.0000 0.0000 0.5000  6 O 2.12-2.16
O1 0.2040 0.2040 0.6645  1 W 2.12
O2 0.2083 0.7503 0.6649  1 W 2.16, 2 Pm 2.39-2.40
O3 0.2497 0.7917 0.3351  1 W 2.16, 2 Pm 2.39-2.40
O4 0.2734 0.2734 0.3229  3 Pm 2.35-2.36
O5 0.7266 0.7266 0.6771  3 Pm 2.35-2.36
O6 0.7503 0.2083 0.6649  1 W 2.16, 2 Pm 2.39-2.40
O7 0.7917 0.2497 0.3351  1 W 2.16, 2 Pm 2.39-2.40
O8 0.7960 0.7960 0.3355  1 W 2.12

- density of states at the Fermi level (states/eV per cell) = 0.00
- calculated volume (Å³/atom) = 19.10
- energy (eV/atom) = -6.750

=====

Entry 7:
The following is a DFT calculation (PBE with a Hubbard U) of a relaxed RbPmWO5 crystal.

Cell: 6.6350 6.6350 8.4040 Å, 104.65 104.65 105.90°
Last column: nearest neighbours and their distance in Å.
Atoms (fractional coordinates):
Rb1 0.1795 0.8205 0.7500  1 O 2.67
Rb2 0.8205 0.1795 0.2500  1 O 2.67
Pm1 0.5000 0.5000 0.0000  6 O 2.22-2.48
Pm2 0.5000 0.5000 0.5000  6 O 2.22-2.48
W1 0.1852 0.8148 0.2500  4 O 1.82
W2 0.8148 0.1852 0.7500  4 O 1.82
O1 0.0981 0.2652 0.8980  1 W 1.82
O2 0.1987 0.6293 0.3763  1 W 1.82
O3 0.2652 0.0981 0.3980  1 W 1.82
O4 0.3707 0.8013 0.1237  1 W 1.82
O5 0.4316 0.5684 0.7500  2 Pm 2.22
O6 0.5684 0.4316 0.2500  2 Pm 2.22
O7 0.6293 0.1987 0.8763  1 W 1.82
O8 0.7348 0.9019 0.6020  1 W 1.82
O9 0.8013 0.3707 0.6237  1 W 1.82
O10 0.9019 0.7348 0.1020  1 W 1.82

- density of states at the Fermi level (states/eV per cell) = 0.00
- calculated volume (Å³/atom) = 20.18
- energy (eV/atom) = -7.102

=====

> What is the formula in the second record?

Rb4Pm3VO8